! Cr3Sn12Au5 | the Alexandria database | GGA-PBE | optimized geometry; values from VASP
! Total DFT energy (no corrections) in eV for the cell shown: -362.34
&SYSTEM
  ibrav = 0, nat = 80, ntyp = 3
/
ATOMIC_SPECIES
Cr 52.00 Cr.upf
Sn 118.71 Sn.upf
Au 196.97 Au.upf
CELL_PARAMETERS angstrom
14.046 0.000 0.000
-4.682 13.243 0.000
-4.682 -6.621 11.468
ATOMIC_POSITIONS crystal
Cr 0.875 0.125 0.250
Cr 0.750 0.875 0.625
Sn 0.130 0.731 0.561
Sn 0.630 0.061 0.231
Sn 0.330 0.561 0.431
Sn 0.870 0.269 0.439
Sn 0.769 0.330 0.899
Sn 0.061 0.630 0.731
Sn 0.601 0.731 0.670
Sn 0.769 0.439 0.370
Sn 0.370 0.431 0.101
Au 0.875 0.250 0.625
Cr 0.875 0.750 0.125
Cr 0.625 0.250 0.375
Sn 0.431 0.370 0.601
Sn 0.439 0.769 0.870
Cr 0.375 0.750 0.625
Sn 0.569 0.939 0.670
Cr 0.125 0.250 0.875
Cr 0.250 0.125 0.375
Sn 0.101 0.170 0.231
Sn 0.670 0.231 0.601
Sn 0.731 0.601 0.170
Sn 0.330 0.769 0.399
Sn 0.561 0.231 0.130
Sn 0.899 0.830 0.769
Sn 0.561 0.330 0.931
Sn 0.061 0.431 0.830
Sn 0.231 0.670 0.101
Au 0.875 0.625 0.750
Au 0.000 0.000 0.500
Sn 0.101 0.931 0.370
Au 0.750 0.625 0.375
Au 0.000 0.000 0.000
Sn 0.170 0.101 0.731
Sn 0.931 0.830 0.561
Sn 0.231 0.561 0.630
Au 0.375 0.125 0.750
Au 0.625 0.750 0.875
Sn 0.069 0.170 0.439
Au 0.625 0.875 0.250
Cr 0.375 0.625 0.250
Au 0.250 0.875 0.125
Cr 0.125 0.875 0.750
Au 0.500 0.500 0.500
Sn 0.601 0.870 0.431
Sn 0.069 0.899 0.130
Au 0.750 0.125 0.875
Sn 0.670 0.439 0.569
Au 0.250 0.375 0.625
Sn 0.399 0.130 0.569
Au 0.500 0.000 0.000
Sn 0.939 0.569 0.170
Au 0.000 0.500 0.500
Au 0.500 0.000 0.500
Sn 0.170 0.069 0.939
Sn 0.431 0.061 0.330
Sn 0.370 0.939 0.769
Cr 0.250 0.625 0.875
Sn 0.870 0.601 0.931
Au 0.000 0.500 0.000
Sn 0.399 0.269 0.330
Au 0.375 0.250 0.125
Au 0.500 0.500 0.000
Sn 0.830 0.899 0.269
Cr 0.625 0.375 0.750
Sn 0.931 0.101 0.870
Au 0.125 0.750 0.375
Sn 0.630 0.569 0.899
Au 0.125 0.375 0.250
Sn 0.939 0.370 0.269
Sn 0.269 0.870 0.939
Cr 0.750 0.375 0.125
Sn 0.830 0.931 0.061
Sn 0.130 0.399 0.069
Sn 0.439 0.670 0.069
Sn 0.569 0.630 0.399
Sn 0.899 0.069 0.630
Sn 0.269 0.399 0.830
Sn 0.731 0.130 0.061



! Cs7Rb2 | the Alexandria database | GGA-PBE | optimized geometry; values from VASP
! Total DFT energy (no corrections) in eV for the cell shown: -7.88
&SYSTEM
  ibrav = 0, nat = 9, ntyp = 2
/
ATOMIC_SPECIES
Rb 85.47 Rb.upf
Cs 132.91 Cs.upf
CELL_PARAMETERS angstrom
-7.674 -3.701 3.662
8.108 -4.435 0.767
2.358 6.260 11.269
ATOMIC_POSITIONS crystal
Rb 0.667 0.333 0.000
Cs 0.000 0.336 0.671
Cs 0.000 0.000 0.000
Cs 0.336 0.000 0.671
Cs 0.336 0.336 0.329
Cs 0.664 0.664 0.671
Cs 0.000 0.664 0.329
Cs 0.664 0.000 0.329
Rb 0.333 0.667 0.000



! GaSnOsF2 | the Alexandria database | GGA-PBE | optimized geometry; values from VASP
! Total DFT energy (no corrections) in eV for the cell shown: -23.57
&SYSTEM
  ibrav = 0, nat = 5, ntyp = 4
/
ATOMIC_SPECIES
F 19.00 F.upf
Os 190.23 Os.upf
Sn 118.71 Sn.upf
Ga 69.72 Ga.upf
CELL_PARAMETERS angstrom
-3.056 -1.416 2.397
0.049 -4.712 -2.720
2.784 -1.507 2.660
ATOMIC_POSITIONS crystal
F 0.500 0.000 0.000
F 0.000 0.000 0.500
Os 0.000 0.000 0.000
Sn 0.000 0.500 0.000
Ga 0.500 0.500 0.500



! Pr2Er4TmTh | the Alexandria database | GGA-PBE | optimized geometry; values from VASP
! Total DFT energy (no corrections) in eV for the cell shown: -38.78
&SYSTEM
  ibrav = 0, nat = 8, ntyp = 4
/
ATOMIC_SPECIES
Pr 140.91 Pr.upf
Er 167.26 Er.upf
Tm 168.93 Tm.upf
Th 232.04 Th.upf
CELL_PARAMETERS angstrom
-0.488 -0.817 -5.768
4.997 -3.052 0.009
1.123 -9.399 1.237
ATOMIC_POSITIONS crystal
Pr 0.000 0.000 0.000
Er 0.000 0.248 0.252
Tm 0.000 0.500 0.500
Er 0.500 0.251 0.749
Er 0.000 0.752 0.748
Pr 0.500 0.000 0.500
Er 0.500 0.749 0.251
Th 0.500 0.500 0.000



Q: Look up the total DFT energy (no corrections) of the second one.
A: -7.88 eV for the cell shown



Q: What is the total DFT energy (no corrections) in the second record?
A: -7.88 eV for the cell shown



Q: Look up the total DFT energy (no corrections) of the first one.
A: -362.34 eV for the cell shown